Here is an optimized crystal structure of Dy2Y2CI3Cl2 from OQMD. Energies are from PBE.

Cell lengths 9.339, 9.339, 8.469 Å; angles 99.67, 99.67, 24.12 degrees
Fractional positions:
Dy1 0.133 0.133 0.063
Dy2 0.867 0.867 0.937
Y1 0.498 0.498 0.191
Y2 0.502 0.502 0.809
C1 0.000 0.000 0.000
I1 0.000 0.000 0.500
I2 0.325 0.325 0.190
I3 0.675 0.675 0.810
Cl1 0.351 0.351 0.707
Cl2 0.649 0.649 0.293

Output
Electronic total energy   -5.31 eV/atom
Relative energy among the computed polymorphs   1 meV per atom
V   297.3 Å³/cell

***

Here is an optimized crystal structure of Dy2Y2CI2Cl3 from OQMD. Energies are from PBE.

Cell lengths 9.330, 9.330, 7.895 Å; angles 100.27, 100.27, 23.54 degrees
Fractional positions:
Dy1 0.002 0.002 0.292
Dy2 0.998 0.998 0.708
Y1 0.366 0.366 0.429
Y2 0.634 0.634 0.571
C1 0.500 0.500 0.500
I1 0.175 0.175 0.297
I2 0.825 0.825 0.703
Cl1 0.149 0.149 0.823
Cl2 0.500 0.500 0.000
Cl3 0.851 0.851 0.177

Output
Electronic total energy   -5.45 eV/atom
Relative energy among the computed polymorphs   0 meV per atom
V   270.0 Å³/cell

***

Here is an optimized crystal structure of Dy2Y2CI4Cl from OQMD. Energies are from PBE.

Cell lengths 9.805, 9.805, 8.217 Å; angles 101.62, 101.62, 22.98 degrees
Fractional positions:
Dy1 0.127 0.127 0.064
Dy2 0.873 0.873 0.936
Y1 0.499 0.499 0.203
Y2 0.501 0.501 0.797
C1 0.000 0.000 0.000
I1 0.333 0.333 0.187
I2 0.338 0.338 0.649
I3 0.662 0.662 0.351
I4 0.667 0.667 0.813
Cl1 0.000 0.000 0.500

Output
Electronic total energy   -5.13 eV/atom
V   301.9 Å³/cell

***

Here is an optimized crystal structure of Dy2Y2CI4Cl from OQMD. Energies are from PBE.

Cell lengths 9.799, 9.799, 8.220 Å; angles 101.62, 101.62, 22.96 degrees
Fractional positions:
Dy1 0.001 0.001 0.298
Dy2 0.999 0.999 0.702
Y1 0.372 0.372 0.436
Y2 0.628 0.628 0.564
C1 0.500 0.500 0.500
I1 0.161 0.161 0.852
I2 0.167 0.167 0.311
I3 0.833 0.833 0.689
I4 0.839 0.839 0.148
Cl1 0.500 0.500 0.000

Output
Electronic total energy   -5.13 eV/atom
V   301.3 Å³/cell

***

Here is an optimized crystal structure of Dy2Y2CI2Cl3 from OQMD. Energies are from PBE.

Cell lengths 9.342, 9.342, 7.934 Å; angles 99.90, 99.90, 23.65 degrees
Fractional positions:
Dy1 0.132 0.132 0.055
Dy2 0.868 0.868 0.945
Y1 0.497 0.497 0.207
Y2 0.503 0.503 0.793
C1 0.000 0.000 0.000
I1 0.333 0.333 0.648
I2 0.667 0.667 0.352
Cl1 0.000 0.000 0.500
Cl2 0.339 0.339 0.171
Cl3 0.661 0.661 0.829

Output
Electronic total energy   -5.43 eV/atom
Relative energy among the computed polymorphs   25 meV per atom
V   273.4 Å³/cell

***

Here is an optimized crystal structure of Dy2Y2CICl4 from OQMD. Energies are from PBE.

Cell lengths 8.708, 8.708, 8.490 Å; angles 103.74, 103.74, 25.30 degrees
Fractional positions:
Dy1 0.145 0.145 0.075
Dy2 0.855 0.855 0.925
Y1 0.499 0.499 0.192
Y2 0.501 0.501 0.808
C1 0.000 0.000 0.000
I1 0.000 0.000 0.500
Cl1 0.328 0.328 0.143
Cl2 0.333 0.333 0.691
Cl3 0.667 0.667 0.309
Cl4 0.672 0.672 0.857

Output
Electronic total energy   -5.61 eV/atom
V   266.8 Å³/cell